CaPt4Br | PBE-GGA | optimized geometry Values from VASP.

```
&SYSTEM
  ibrav = 0, nat = 6, ntyp = 3
/
ATOMIC_SPECIES
Br 79.90 Br.upf
Pt 195.08 Pt.upf
Ca 40.08 Ca.upf
ATOMIC_POSITIONS angstrom
Br -5.264 -3.362 -7.823
Pt -4.712 -1.142 -5.591
Pt -2.494 -2.428 -6.531
Pt -2.630 -1.680 -3.908
Pt -4.200 -3.714 -4.830
Ca 0.000 0.000 0.000
CELL_PARAMETERS angstrom
-3.133 -4.060 -1.840
-4.156 1.072 -3.357
0.270 -1.493 -5.233
```

Summary:
SG	F-43m
total DFT energy (no corrections)	-0.3628	Ry/atom
formation energy (no corrections)	-0.30	eV/atom
theoretical density	13.070	g/cm3
total magnetic moment	0.0	μB per formula unit

CaPtBr3 | PBE-GGA | optimized geometry Values from VASP.

```
&SYSTEM
  ibrav = 0, nat = 5, ntyp = 3
/
ATOMIC_SPECIES
Br 79.90 Br.upf
Ca 40.08 Ca.upf
Pt 195.08 Pt.upf
ATOMIC_POSITIONS angstrom
Br 0.000 0.000 2.782
Br 0.000 2.782 0.000
Ca 0.000 0.000 0.000
Br 2.782 0.000 0.000
Pt 2.782 2.782 2.782
CELL_PARAMETERS angstrom
5.563 0.000 0.000
0.000 5.563 0.000
0.000 0.000 5.563
```

Summary:
SG	Pm-3m
total DFT energy (no corrections)	-0.2084	Ry/atom
energy above the most stable polymorph in this dataset	0.4299	eV/atom
formation energy (no corrections)	-0.22	eV/atom
theoretical density	4.579	g/cm3
total magnetic moment	1.0	μB per formula unit

Ca4PtBr5 | PBE-GGA | optimized geometry Values from VASP.

```
&SYSTEM
  ibrav = 0, nat = 10, ntyp = 3
/
ATOMIC_SPECIES
Ca 40.08 Ca.upf
Br 79.90 Br.upf
Pt 195.08 Pt.upf
ATOMIC_POSITIONS angstrom
Ca 0.908 7.641 3.861
Br 0.504 2.828 2.143
Br 3.071 5.706 3.834
Ca -0.136 1.935 -0.577
Br 3.352 1.467 5.030
Ca 3.710 6.599 6.554
Ca 2.667 0.893 2.116
Br 0.223 7.067 0.947
Pt 2.056 0.000 -0.483
Br 1.765 4.065 -1.721
CELL_PARAMETERS angstrom
4.112 0.000 -0.967
-0.582 8.131 -2.474
0.044 0.403 9.418
```

Summary:
SG	C2/m
total DFT energy (no corrections)	-0.2882	Ry/atom
formation energy (no corrections)	-1.68	eV/atom
theoretical density	3.922	g/cm3
total magnetic moment	0.0	μB per formula unit